Density functional theory data (PBE) for a relaxed Ce2ScMo2C4 crystal.

Raw total energy: -8.6619 eV per atom
ΔE_f: -0.133 eV per atom

The structure in CIF format:
```
data_Ce2ScMo2C4
_chemical_formula_sum 'Ce4 Sc2 Mo4 C8'
_symmetry_space_group_name_H-M 'C 1 2/m 1'
_symmetry_Int_Tables_number 12
_cell_length_a 13.6323
_cell_length_b 3.3694
_cell_length_c 5.9470
_cell_angle_alpha 90.00
_cell_angle_beta 105.94
_cell_angle_gamma 90.00
loop_
_symmetry_equiv_pos_as_xyz
'x,y,z'
'-x,-y,-z'
'-x,y,-z'
'x,-y,z'
'x+1/2,y+1/2,z'
'-x+1/2,-y+1/2,-z'
'-x+1/2,y+1/2,-z'
'x+1/2,-y+1/2,z'
loop_
_atom_site_label
_atom_site_type_symbol
_atom_site_fract_x
_atom_site_fract_y
_atom_site_fract_z
Ce1 Ce 0.1255 0.0000 0.0259
Sc1 Sc 0.0000 0.0000 0.5000
Mo1 Mo 0.1747 0.5000 0.5113
C1 C 0.0382 0.5000 0.2631
C2 C 0.2289 0.0000 0.7250
```

---

Density functional theory data (PBE) for a relaxed AcPrMgAg crystal.

Raw total energy: -3.5059 eV per atom
ΔE to the lowest computed polymorph: 0.000 eV/atom
ΔE_f: -0.172 eV per atom

The structure in CIF format:
```
data_AcPrMgAg
_chemical_formula_sum 'Ac1 Pr1 Mg1 Ag1'
_symmetry_space_group_name_H-M 'P 4 m m'
_symmetry_Int_Tables_number 99
_cell_length_a 3.9742
_cell_length_b 3.9742
_cell_length_c 7.7274
_cell_angle_alpha 90.00
_cell_angle_beta 90.00
_cell_angle_gamma 90.00
loop_
_symmetry_equiv_pos_as_xyz
'x,y,z'
'-y,x,z'
'-x,-y,z'
'y,-x,z'
'-x,y,z'
'y,x,z'
'x,-y,z'
'-y,-x,z'
loop_
_atom_site_label
_atom_site_type_symbol
_atom_site_fract_x
_atom_site_fract_y
_atom_site_fract_z
Ac1 Ac 0.0000 0.0000 0.0000
Pr1 Pr 0.0000 0.0000 0.5172
Mg1 Mg 0.5000 0.5000 0.2780
Ag1 Ag 0.5000 0.5000 0.7387
```